La3Te3F2 | PBE | relaxed

Output
* raw formation energy: -2392 meV per atom
* volume: 27.76 Å³ per atom

Geometry as CIF:
```
data_La3Te3F2
_chemical_formula_sum 'La12 Te12 F8'
_cell_length_a 4.2365
_cell_length_b 13.0911
_cell_length_c 16.0195
_cell_angle_alpha 90.00
_cell_angle_beta 90.00
_cell_angle_gamma 90.00
_space_group_name_H-M_alt 'C m c m'
_space_group_IT_number 63
_space_group_name_Hall '-C 2c 2'
loop_
_atom_site_label
_atom_site_fract_x
_atom_site_fract_y
_atom_site_fract_z
La1 0.0000 0.1324 0.0500
La2 0.0000 0.1360 0.7500
Te1 0.0000 0.1745 0.2500
Te2 0.0000 0.4471 0.1098
F1 0.0000 0.2703 0.5574
```


La2TeF4 | PBE | relaxed

Output
* raw formation energy: -3575 meV per atom
* volume: 18.33 Å³ per atom

Geometry as CIF:
```
data_La2TeF4
_chemical_formula_sum 'La6 Te3 F12'
_cell_length_a 4.2467
_cell_length_b 4.2467
_cell_length_c 24.6445
_cell_angle_alpha 90.00
_cell_angle_beta 90.00
_cell_angle_gamma 120.00
_space_group_name_H-M_alt 'R -3 m'
_space_group_IT_number 166
_space_group_name_Hall '-R 3 2"'
loop_
_atom_site_label
_atom_site_fract_x
_atom_site_fract_y
_atom_site_fract_z
La1 0.0000 0.0000 0.2388
Te1 0.0000 0.0000 0.0000
F1 0.0000 0.0000 0.1398
F2 0.0000 0.0000 0.4339
```


LaTeF | PBE | relaxed

Output
* raw formation energy: -2759 meV per atom
* volume: 24.49 Å³ per atom

Geometry as CIF:
```
data_LaTeF
_chemical_formula_sum 'La1 Te1 F1'
_cell_length_a 4.3158
_cell_length_b 4.3158
_cell_length_c 4.5540
_cell_angle_alpha 90.00
_cell_angle_beta 90.00
_cell_angle_gamma 120.00
_space_group_name_H-M_alt 'P -6 m 2'
_space_group_IT_number 187
_space_group_name_Hall 'P -6 2'
loop_
_atom_site_label
_atom_site_fract_x
_atom_site_fract_y
_atom_site_fract_z
La1 0.0000 0.0000 0.0000
Te1 0.6667 0.3333 0.5000
F1 0.3333 0.6667 0.0000
```


LaTeF | PBE | relaxed

Output
* raw formation energy: -2217 meV per atom
* volume: 24.51 Å³ per atom

Geometry as CIF:
```
data_LaTeF
_chemical_formula_sum 'La2 Te2 F2'
_cell_length_a 3.6796
_cell_length_b 3.6796
_cell_length_c 10.8635
_cell_angle_alpha 90.00
_cell_angle_beta 90.00
_cell_angle_gamma 90.00
_space_group_name_H-M_alt 'I 4 m m'
_space_group_IT_number 107
_space_group_name_Hall 'I 4 -2'
loop_
_atom_site_label
_atom_site_fract_x
_atom_site_fract_y
_atom_site_fract_z
La1 0.0000 0.0000 0.0000
Te1 0.0000 0.0000 0.3082
F1 0.0000 0.0000 0.5778
```


La2Te2F | PBE | relaxed

Output
* E above lowest polymorph: 0.000 eV/atom
* raw formation energy: -2089 meV per atom
* volume: 28.57 Å³ per atom

Geometry as CIF:
```
data_La2Te2F
_chemical_formula_sum 'La8 Te8 F4'
_cell_length_a 4.1011
_cell_length_b 11.4991
_cell_length_c 12.1174
_cell_angle_alpha 90.00
_cell_angle_beta 90.00
_cell_angle_gamma 90.00
_space_group_name_H-M_alt 'C m c 21'
_space_group_IT_number 36
loop_
_space_group_symop_operation_xyz
'x,y,z'
'-x,-y,z+1/2'
'-x,y,z'
'x,-y,z+1/2'
'x+1/2,y+1/2,z'
'-x+1/2,-y+1/2,z+1/2'
'-x+1/2,y+1/2,z'
'x+1/2,-y+1/2,z+1/2'
loop_
_atom_site_label
_atom_site_fract_x
_atom_site_fract_y
_atom_site_fract_z
La1 0.0000 0.0471 0.0000
La2 0.0000 0.2225 0.2395
Te1 0.0000 0.0644 0.7416
Te2 0.0000 0.3298 0.9502
F1 0.0000 0.3629 0.6134
```